Compound: ZnReTc2
Source: Alexandria
Functional: SCAN
Structure: PBEsol geometry

Output
**Total energy**: -38.45 eV per atom

a b c (Å): 4.691 2.733 4.718
angles (deg): 90.00 112.35 90.00
Element x y z (fractional)
1 Zn 0.000 0.000 0.000
2 Re 0.000 0.500 0.500
3 Tc 0.500 0.000 0.500
4 Tc 0.500 0.500 0.000